Record 1
This record from Alexandria describes a relaxed structure of Sc2TiTlH. The functional is PBE. Values from VASP.

```
&SYSTEM
  ibrav = 0, nat = 5, ntyp = 4
/
ATOMIC_SPECIES
Sc 44.96 Sc.upf
Ti 47.87 Ti.upf
Tl 204.38 Tl.upf
H 1.01 H.upf
ATOMIC_POSITIONS crystal
Sc 0.000 0.500 0.000
Sc 0.500 0.000 0.000
Ti 0.000 0.000 0.500
Tl 0.500 0.500 0.500
H 0.000 0.000 0.000
CELL_PARAMETERS angstrom
4.445 0.000 0.000
0.000 4.445 0.000
0.000 0.000 4.289
```

Calculated values
- N(E_F) (states/eV per cell) = 6.35
- total energy (eV per atom) = -5.50

=====

Record 2
This record from Alexandria describes a relaxed structure of CaNiBr. The functional is PBE. Values from VASP.

```
&SYSTEM
  ibrav = 0, nat = 3, ntyp = 3
/
ATOMIC_SPECIES
Ca 40.08 Ca.upf
Ni 58.69 Ni.upf
Br 79.90 Br.upf
ATOMIC_POSITIONS crystal
Ca 0.000 0.000 0.000
Ni 0.667 0.333 0.500
Br 0.333 0.667 0.500
CELL_PARAMETERS angstrom
4.312 0.000 0.000
-2.156 3.734 0.000
0.000 0.000 3.848
```

Calculated values
- N(E_F) (states/eV per cell) = 2.06
- formation energy (no corrections) (meV/atom) = -373

=====

Record 3
This record from Alexandria describes a relaxed structure of Pm2Dy3Sn4. The functional is PBE. Values from VASP.

```
&SYSTEM
  ibrav = 0, nat = 18, ntyp = 3
/
ATOMIC_SPECIES
Pm 145.00 Pm.upf
Dy 162.50 Dy.upf
Sn 118.71 Sn.upf
ATOMIC_POSITIONS crystal
Pm 0.193 0.179 0.062
Pm 0.193 0.321 0.562
Pm 0.807 0.679 0.438
Pm 0.807 0.821 0.938
Dy 0.246 0.668 0.239
Dy 0.246 0.832 0.739
Dy 0.500 0.000 0.500
Dy 0.500 0.500 0.000
Dy 0.754 0.168 0.261
Dy 0.754 0.332 0.761
Sn 0.083 0.538 0.838
Sn 0.083 0.962 0.338
Sn 0.488 0.135 0.864
Sn 0.488 0.365 0.364
Sn 0.512 0.635 0.636
Sn 0.512 0.865 0.136
Sn 0.917 0.038 0.662
Sn 0.917 0.462 0.162
CELL_PARAMETERS angstrom
8.343 0.000 0.000
0.000 8.324 0.000
-2.837 0.000 7.512
```

Calculated values
- N(E_F) (states/eV per cell) = 13.51
- energy above the lowest structure with this stoichiometry (eV/f.u.) = 0.00
- DFT formation energy (meV/atom) = -785